The following is a DFT calculation (PBE) of a geometry-optimized MgSbPI2 structure.

Cell: 5.4049 5.4049 5.5045 Å, 90.00 90.00 90.00°
Last column: nearest neighbours and their distance in Å.
Positions (direct):
Mg (0.0000, 0.0000, 0.0000)  4 Sb 3.82, 8 I 3.86
Sb (0.5000, 0.5000, 0.0000)  2 P 2.75
P (0.5000, 0.5000, 0.5000)  4 I 2.70, 2 Sb 2.75
I (0.0000, 0.5000, 0.5000)  2 P 2.70
I (0.5000, 0.0000, 0.5000)  2 P 2.70

Output
- Density of states at the Fermi level: 4.47 states/eV/f.u.
- Total magnetization: 0.000 μB per atom
- Symmetry: No. 123
- Final energy: -2.51 eV per atom
- V: 160.8 Å³/cell